VASP calculation (PBE-GGA) on crystalline RbNiBiBr6 at its relaxed geometry.

a = 7.1469 Å, b = 7.1469 Å, c = 7.6736 Å
α = 90.00°, β = 90.00°, γ = 120.00°
Space group P312 (No. 149)
One atom of each set of equivalent atoms:
1 Rb 0.0000 0.0000 0.0000 x1
2 Ni 0.6667 0.3333 0.5000 x1
3 Bi 0.3333 0.6667 0.5000 x1
4 Br 0.3873 0.0329 0.7006 x6

Values from the calculation:
Final energy   -3.115 eV per atom
E_form (uncorrected)   -18.9 kcal/mol of atoms